P.
Compound: CdPb6
Source: the Alexandria database
Functional: GGA-PBE
Structure: relaxed

a = 7.464 Å, b = 7.464 Å, c = 7.464 Å
α = 109.47°, β = 109.47°, γ = 109.47°
Element x y z (fractional)
Cd1 0.000 0.000 0.000
Pb1 0.250 0.500 0.750
Pb2 0.250 0.750 0.500
Pb3 0.500 0.250 0.750
Pb4 0.500 0.750 0.250
Pb5 0.750 0.250 0.500
Pb6 0.750 0.500 0.250

## Properties
The calculation puts the magnetization at 0.0 μB per formula unit. The volume is 320.15 Å³/f.u. The space-group type is Im-3m (229).



Q.
Compound: CdPb6
Source: the Alexandria database
Functional: GGA-PBE
Structure: relaxed

a = 8.402 Å, b = 8.402 Å, c = 8.402 Å
α = 39.29°, β = 39.29°, γ = 39.29°
Element x y z (fractional)
Cd1 0.000 0.000 0.000
Pb1 0.138 0.138 0.138
Pb2 0.283 0.283 0.283
Pb3 0.427 0.427 0.427
Pb4 0.573 0.573 0.573
Pb5 0.717 0.717 0.717
Pb6 0.862 0.862 0.862

## Properties
The calculation puts the magnetization at 0.0 μB per formula unit. The volume is 214.00 Å³/f.u. The space-group type is R-3m (166).



How do the energies compare? Relative to the most stable structure, in kJ/mol of atoms: P 32.8; Q 0.0.